[1]
Crystalline RbBa2Li at its relaxed geometry, computed with PBE.

Symmetry: P4/mmm (123)
ΔH_f (0 K): 0.19 eV/atom
Total magnetic moment: 0.000 μB/atom
Crystal system: tetragonal

Lattice parameters (Å, degrees): 6.2748 6.0930 6.0930 90.00 90.00 90.00
With the nearest neighbours (Å) after each atom.
Fractional coordinates of all 4 atoms:
Li (0.5000, 0.5000, 0.5000)  4 Rb 4.31, 8 Ba 4.37
Ba (0.0000, 0.0000, 0.5000)  4 Ba 4.31, 4 Li 4.37, 4 Rb 4.37
Ba (0.0000, 0.5000, 0.0000)  4 Ba 4.31, 4 Li 4.37, 4 Rb 4.37
Rb (0.5000, 0.0000, 0.0000)  4 Li 4.31, 8 Ba 4.37

[2]
Crystalline Rb3BaLi at its relaxed geometry, computed with PBE.

Energy relative to the lowest polymorph listed for this composition: 0.3674 eV/atom
Symmetry: Pm-3m (221)
ΔH_f (0 K): 0.63 eV/atom
Total magnetic moment: 0.321 μB/atom
Crystal system: cubic

Lattice parameters (Å, degrees): 8.3833 8.3833 8.3833 90.00 90.00 90.00
With the nearest neighbours (Å) after each atom.
Fractional coordinates of all 5 atoms:
Rb (0.0000, 0.5000, 0.0000)  2 Ba 4.19
Rb (0.5000, 0.0000, 0.0000)  2 Ba 4.19
Rb (0.0000, 0.0000, 0.5000)  2 Ba 4.19
Ba (0.0000, 0.0000, 0.0000)  6 Rb 4.19
Li (0.5000, 0.5000, 0.5000)  12 Rb 5.93

[3]
Crystalline RbBa2Li at its relaxed geometry, computed with PBE.

Symmetry: I-42d (122)
ΔH_f (0 K): 0.26 eV/atom
Total magnetic moment: 0.000 μB/atom
Crystal system: tetragonal

Lattice parameters (Å, degrees): 10.7174 10.7174 8.6704 51.83 51.83 90.00
With the nearest neighbours (Å) after each atom.
Fractional coordinates of all 8 atoms:
Li (0.5000, 0.5000, 0.0000)  4 Ba 3.54
Li (0.2500, 0.7500, 0.5000)  4 Ba 3.54
Ba (0.5680, 0.1250, 0.2500)  2 Li 3.54
Ba (0.1820, 0.6250, 0.2500)  2 Li 3.54
Ba (0.3750, 0.4320, 0.7500)  2 Li 3.54
Ba (0.8750, 0.8180, 0.7500)  2 Li 3.54
Rb (0.7500, 0.2500, 0.5000)  2 Li 4.21, 8 Ba 4.37-4.63
Rb (0.0000, 0.0000, 0.0000)  2 Li 4.21, 8 Ba 4.37-4.63

[4]
Crystalline RbBaLi3 at its relaxed geometry, computed with PBE.

Energy relative to the lowest polymorph listed for this composition: 0.1197 eV/atom
Symmetry: Pm-3m (221)
ΔH_f (0 K): 0.60 eV/atom
Total magnetic moment: 0.000 μB/atom
Crystal system: cubic

Lattice parameters (Å, degrees): 6.6899 6.6899 6.6899 90.00 90.00 90.00
With the nearest neighbours (Å) after each atom.
Fractional coordinates of all 5 atoms:
Rb (0.5000, 0.5000, 0.5000)  12 Li 4.73
Li (0.5000, 0.0000, 0.0000)  2 Ba 3.34
Li (0.0000, 0.5000, 0.0000)  2 Ba 3.34
Li (0.0000, 0.0000, 0.5000)  2 Ba 3.34
Ba (0.0000, 0.0000, 0.0000)  6 Li 3.34

[5]
Crystalline RbBa2Li at its relaxed geometry, computed with PBE.

Symmetry: Cm (8)
ΔH_f (0 K): 0.15 eV/atom
Total magnetic moment: 0.000 μB/atom
Crystal system: monoclinic

Lattice parameters (Å, degrees): 4.5159 4.5159 13.8365 80.46 80.46 59.95
With the nearest neighbours (Å) after each atom.
Fractional coordinates of all 4 atoms:
Ba (0.0660, 0.0660, 0.8026)  3 Li 3.74
Ba (0.2671, 0.2671, 0.1976)  3 Li 3.74
Rb (0.5004, 0.5004, 0.4996)  6 Rb 4.51-4.52, 6 Ba 4.85-4.87
Li (0.6665, 0.6665, 0.0001)  6 Ba 3.74

[6]
Crystalline RbBaLi3 at its relaxed geometry, computed with PBE.

Energy relative to the lowest polymorph listed for this composition: 0.0000 eV/atom
Symmetry: Pm-3m (221)
ΔH_f (0 K): 0.48 eV/atom
Total magnetic moment: 0.000 μB/atom
Crystal system: cubic

Lattice parameters (Å, degrees): 6.1595 6.1595 6.1595 90.00 90.00 90.00
With the nearest neighbours (Å) after each atom.
Fractional coordinates of all 5 atoms:
Li (0.0000, 0.0000, 0.5000)  2 Rb 3.08
Li (0.0000, 0.5000, 0.0000)  2 Rb 3.08
Li (0.5000, 0.0000, 0.0000)  2 Rb 3.08
Rb (0.0000, 0.0000, 0.0000)  6 Li 3.08
Ba (0.5000, 0.5000, 0.5000)  12 Li 4.36

[7]
Crystalline RbBa2Li2 at its relaxed geometry, computed with PBE.

Energy relative to the lowest polymorph listed for this composition: 0.0399 eV/atom
Symmetry: I4/mmm (139)
ΔH_f (0 K): 0.14 eV/atom
Total magnetic moment: 0.000 μB/atom
Crystal system: tetragonal

Lattice parameters (Å, degrees): 4.2605 4.2605 14.3031 81.43 81.43 90.00
With the nearest neighbours (Å) after each atom.
Fractional coordinates of all 5 atoms:
Li (0.7500, 0.2500, 0.5000)  4 Li 3.01
Li (0.2500, 0.7500, 0.5000)  4 Li 3.01
Rb (0.0000, 0.0000, 0.0000)  4 Rb 4.26
Ba (0.3604, 0.3604, 0.2792)  4 Li 3.75
Ba (0.6396, 0.6396, 0.7208)  4 Li 3.75

[8]
Crystalline RbBa2Li at its relaxed geometry, computed with PBE.

Symmetry: P4/mmm (123)
ΔH_f (0 K): 0.08 eV/atom
Total magnetic moment: 0.000 μB/atom
Crystal system: tetragonal

Lattice parameters (Å, degrees): 4.4175 4.4175 11.8539 90.00 90.00 90.00
With the nearest neighbours (Å) after each atom.
Fractional coordinates of all 4 atoms:
Ba (0.0000, 0.0000, 0.1794)  4 Li 3.78
Ba (0.0000, 0.0000, 0.8206)  4 Li 3.78
Rb (0.5000, 0.5000, 0.5000)  4 Rb 4.42, 8 Ba 4.92
Li (0.5000, 0.5000, 0.0000)  8 Ba 3.78

- What is the formula in the fifth record?
  RbBa2Li

- Among the records above, which one has the highest ΔH_f (0 K)?
  Rb3BaLi

- Which of these has the highest total magnetic moment?
  Rb3BaLi